This record from Alexandria describes a relaxed structure of CsRb2AgHg. The functional is PBE.

Output
The density of states at the Fermi level is 0.65 states/eV/atom. As for the space-group type: P4/mmm.

Geometry as POSCAR:
```
CsRb2AgHg
1.0
-1.559 -6.619 1.536
3.202 -2.106 -5.824
4.892 -0.487 2.866
Cs Rb Hg Ag
1 2 1 1
direct
0.500 0.500 0.500 Cs
0.000 0.500 0.000 Rb
0.500 0.000 0.000 Rb
0.000 0.000 0.000 Hg
0.000 0.000 0.500 Ag
```



This record from Alexandria describes a relaxed structure of CsRb2AgHg. The functional is PBE.

Output
The density of states at the Fermi level is 0.31 states/eV/atom. As for the space-group type: P2_1/m.

Geometry as POSCAR:
```
CsRb2AgHg
1.0
-4.797 1.348 -1.758
0.814 -5.603 -6.517
-4.830 -8.375 6.761
Cs Rb Ag Hg
2 4 2 2
direct
0.250 0.674 0.249 Cs
0.750 0.326 0.751 Cs
0.750 0.793 0.558 Rb
0.750 0.796 0.938 Rb
0.250 0.207 0.442 Rb
0.250 0.204 0.062 Rb
0.250 0.651 0.747 Ag
0.750 0.349 0.253 Ag
0.250 0.986 0.750 Hg
0.750 0.014 0.250 Hg
```



This record from Alexandria describes a relaxed structure of CsRbAgHg2. The functional is PBE.

Output
The density of states at the Fermi level is 0.63 states/eV/atom. As for the space-group type: P4/mmm.

Geometry as POSCAR:
```
CsRbAgHg2
1.0
5.723 0.000 0.000
0.000 5.723 0.000
0.000 0.000 6.294
Cs Rb Hg Ag
1 1 2 1
direct
0.500 0.500 0.500 Cs
0.000 0.000 0.500 Rb
0.000 0.500 0.000 Hg
0.500 0.000 0.000 Hg
0.000 0.000 0.000 Ag
```



Number 1: size of the total moment 0.00 μB per atom, DFT formation energy 0.037 eV/atom. Number 2: size of the total moment 0.00 μB per atom, DFT formation energy -0.081 eV/atom. Number 3: size of the total moment 0.00 μB per atom, DFT formation energy -0.027 eV/atom.